# KGa11

A relaxed KGa11 crystal (PBE-GGA, Alexandria via LeMat-Bulk).

Output
- SG: I4_1/amd
- Total magnetization: 0.00 Bohr magnetons per cell

a = 8.3150 Å, b = 8.7770 Å, c = 8.7770 Å
α = 77.03°, β = 61.73°, γ = 61.73°
Positions (direct):
Ga 0.8750 0.2500 0.7500
Ga 0.1655 0.1728 0.4190
Ga 0.3750 0.7500 0.7500
Ga 0.7500 0.5000 0.5000
Ga 0.3345 0.6728 0.0810
Ga 0.7573 0.8272 0.5810
K 0.2500 0.5000 0.5000
Ga 0.3345 0.0810 0.6728
Ga 0.1655 0.4190 0.1728
Ga 0.5845 0.0810 0.3272
Ga 0.9927 0.9190 0.6728
Ga 0.4155 0.8272 0.4190
Ga 0.6617 0.5810 0.1728
Ga 0.0000 0.0000 0.0000
Ga 0.0883 0.3272 0.9190
Ga 0.6617 0.1728 0.5810
K 0.5000 0.0000 0.0000
Ga 0.8750 0.7500 0.2500
Ga 0.5845 0.3272 0.0810
Ga 0.7573 0.5810 0.8272
Ga 0.8750 0.2500 0.2500
Ga 0.9927 0.6728 0.9190
Ga 0.0883 0.9190 0.3272
Ga 0.4155 0.4190 0.8272

---

# KGa2

A relaxed KGa2 crystal (PBE-GGA, Alexandria via LeMat-Bulk).

Output
- SG: Imma
- Offset from the most stable computed form: 3 meV per atom
- Total magnetization: 0.00 Bohr magnetons per cell

a = 4.6683 Å, b = 6.1986 Å, c = 6.1986 Å
α = 83.21°, β = 67.88°, γ = 67.88°
Positions (direct):
K 0.4165 0.8335 0.3335
K 0.5835 0.1665 0.6665
Ga 0.8396 0.2447 0.0761
Ga 0.8396 0.5761 0.7447
Ga 0.1604 0.4239 0.2553
Ga 0.1604 0.7553 0.9239

---

# KGa12

A relaxed KGa12 crystal (PBE-GGA, Alexandria via LeMat-Bulk).

Output
- SG: Fm-3m
- Total magnetization: 0.00 Bohr magnetons per cell

a = 7.6904 Å, b = 7.6904 Å, c = 7.6904 Å
α = 60.00°, β = 60.00°, γ = 60.00°
Positions (direct):
Ga 0.1602 0.5000 0.5000
Ga 0.5000 0.1602 0.5000
Ga 0.1602 0.8398 0.5000
Ga 0.5000 0.8398 0.1602
Ga 0.8398 0.5000 0.5000
Ga 0.1602 0.5000 0.8398
Ga 0.5000 0.1602 0.8398
Ga 0.8398 0.1602 0.5000
K 0.0000 0.0000 0.0000
Ga 0.5000 0.8398 0.5000
Ga 0.5000 0.5000 0.8398
Ga 0.5000 0.5000 0.1602
Ga 0.8398 0.5000 0.1602

---

# K5Ga

A relaxed K5Ga crystal (PBE-GGA, Alexandria via LeMat-Bulk).

Output
- SG: Cmmm
- Total magnetization: 0.00 Bohr magnetons per cell

a = 6.2182 Å, b = 6.1444 Å, c = 9.1884 Å
α = 109.53°, β = 90.00°, γ = 90.00°
Positions (direct):
K 0.5000 0.8531 0.7062
K 0.0000 0.3551 0.7102
K 0.5000 0.5000 0.0000
K 0.5000 0.1469 0.2938
K 0.0000 0.6449 0.2898
Ga 0.0000 0.0000 0.0000

---

# KGa2

A relaxed KGa2 crystal (PBE-GGA, Alexandria via LeMat-Bulk).

Output
- SG: Fd-3m
- Offset from the most stable computed form: 73 meV per atom
- Total magnetization: 0.00 Bohr magnetons per cell

a = 5.9483 Å, b = 5.9483 Å, c = 5.9483 Å
α = 60.00°, β = 60.00°, γ = 60.00°
Positions (direct):
K 0.2500 0.2500 0.2500
Ga 0.6250 0.6250 0.1250
Ga 0.6250 0.1250 0.6250
K 0.0000 0.0000 0.0000
Ga 0.6250 0.6250 0.6250
Ga 0.1250 0.6250 0.6250

---

# K2Ga3

A relaxed K2Ga3 crystal (PBE-GGA, Alexandria via LeMat-Bulk).

Output
- SG: I4/mmm
- Offset from the most stable computed form: 0 meV per atom
- Total magnetization: 0.00 Bohr magnetons per cell

a = 8.6207 Å, b = 8.6207 Å, c = 8.6207 Å
α = 137.96°, β = 137.96°, γ = 60.97°
Positions (direct):
K 0.6099 0.6099 0.0000
Ga 0.0000 0.2948 0.2948
Ga 0.1400 0.1400 0.0000
Ga 0.7052 0.0000 0.7052
Ga 0.8600 0.8600 0.0000
K 0.2500 0.7500 0.5000
K 0.7500 0.2500 0.5000
Ga 0.0000 0.7052 0.7052
K 0.3901 0.3901 0.0000
Ga 0.2948 0.0000 0.2948

---

# KGa3

A relaxed KGa3 crystal (PBE-GGA, Alexandria via LeMat-Bulk).

Output
- SG: I-4m2
- Total magnetization: 0.00 Bohr magnetons per cell

a = 8.7040 Å, b = 8.7040 Å, c = 8.7040 Å
α = 137.31°, β = 137.31°, γ = 61.95°
Positions (direct):
Ga 0.0152 0.2216 0.7936
K 0.0000 0.0000 0.0000
Ga 0.4279 0.2216 0.2064
Ga 0.6069 0.9127 0.3058
Ga 0.6989 0.3931 0.3058
Ga 0.7784 0.9848 0.2064
Ga 0.6069 0.3011 0.6942
K 0.3736 0.8736 0.5000
K 0.1264 0.6264 0.5000
Ga 0.0873 0.3931 0.6942
Ga 0.5000 0.5000 0.0000
Ga 0.7784 0.5721 0.7936

---

# K3Ga13

A relaxed K3Ga13 crystal (PBE-GGA, Alexandria via LeMat-Bulk).

Output
- SG: Cmcm
- Total magnetization: 0.00 Bohr magnetons per cell

a = 8.8069 Å, b = 8.8069 Å, c = 28.7441 Å
α = 90.00°, β = 90.00°, γ = 136.70°
Positions (direct):
Ga 0.0291 0.3726 0.2967
K 0.9863 0.0137 0.8611
Ga 0.5147 0.4853 0.9100
Ga 0.2564 0.3193 0.2500
K 0.2128 0.7872 0.5856
Ga 0.2428 0.1449 0.9644
Ga 0.1449 0.2428 0.4644
Ga 0.8551 0.7572 0.5356
Ga 0.9709 0.6274 0.7967
Ga 0.9709 0.6274 0.7033
Ga 0.4267 0.5733 0.3284
K 0.0137 0.9863 0.3611
Ga 0.5933 0.8140 0.5466
Ga 0.0291 0.3726 0.2033
K 0.2128 0.7872 0.9144
Ga 0.7426 0.2574 0.8437
Ga 0.7981 0.2019 0.5720
Ga 0.6564 0.3436 0.5328
Ga 0.8551 0.7572 0.9644
Ga 0.8140 0.5933 0.0466
Ga 0.4853 0.5147 0.4100
Ga 0.2574 0.7426 0.3437
K 0.6372 0.3628 0.3196
Ga 0.5147 0.4853 0.5900
Ga 0.4853 0.5147 0.0900
Ga 0.7572 0.8551 0.4644
Ga 0.3726 0.0291 0.7967
Ga 0.4067 0.1860 0.4534
Ga 0.2019 0.7981 0.0720
Ga 0.5933 0.8140 0.9534
K 0.6372 0.3628 0.1804
Ga 0.5733 0.4267 0.8284
K 0.0137 0.9863 0.1389
Ga 0.8140 0.5933 0.4534
K 0.7872 0.2128 0.4144
Ga 0.1449 0.2428 0.0356
Ga 0.3193 0.2564 0.7500
Ga 0.7436 0.6807 0.7500
Ga 0.7572 0.8551 0.0356
Ga 0.2428 0.1449 0.5356
Ga 0.6274 0.9709 0.2033
Ga 0.3436 0.6564 0.4672
Ga 0.2574 0.7426 0.1563
Ga 0.1860 0.4067 0.9534
K 0.9863 0.0137 0.6389
Ga 0.9247 0.0753 0.7500
Ga 0.3726 0.0291 0.7033
Ga 0.4067 0.1860 0.0466
Ga 0.5733 0.4267 0.6716
Ga 0.3436 0.6564 0.0328
Ga 0.6807 0.7436 0.2500
Ga 0.7716 0.2284 0.7500
Ga 0.4267 0.5733 0.1716
Ga 0.7426 0.2574 0.6563
Ga 0.1860 0.4067 0.5466
Ga 0.6564 0.3436 0.9672
Ga 0.0753 0.9247 0.2500
Ga 0.6274 0.9709 0.2967
Ga 0.2284 0.7716 0.2500
Ga 0.2019 0.7981 0.4280
Ga 0.7981 0.2019 0.9280
K 0.7872 0.2128 0.0856
K 0.3628 0.6372 0.6804
K 0.3628 0.6372 0.8196

---

Number 1: calculated total energy -2.90 eV/atom, calculated volume 20.7 Å³ per atom, energy relative to the elements -0.036 eV/atom. Number 2: calculated total energy -2.48 eV/atom, calculated volume 25.6 Å³ per atom, energy relative to the elements -0.097 eV/atom. Number 3: calculated total energy -2.88 eV/atom, calculated volume 24.7 Å³ per atom, energy relative to the elements 0.002 eV/atom. Number 4: calculated total energy -1.31 eV/atom, calculated volume 55.1 Å³ per atom, energy relative to the elements 0.111 eV/atom. Number 5: calculated total energy -2.41 eV/atom, calculated volume 24.8 Å³ per atom, energy relative to the elements -0.027 eV/atom. Number 6: calculated total energy -2.42 eV/atom, calculated volume 28.4 Å³ per atom, energy relative to the elements -0.162 eV/atom. Number 7: calculated total energy -2.72 eV/atom, calculated volume 25.0 Å³ per atom, energy relative to the elements -0.172 eV/atom. Number 8: calculated total energy -2.83 eV/atom, calculated volume 23.9 Å³ per atom, energy relative to the elements -0.162 eV/atom.